The following is a PBE calculation of crystalline SrYB2Pd at its relaxed geometry, from Alexandria.

Values from the calculation:
E_form ... 773 kJ/mol of formula units
D(E_F) ... 1.22 states/eV per atom
Calculated total energy ... -18.69 eV/cell

Geometry as CIF:
```
data_SrYB2Pd
_chemical_formula_sum 'Sr1 Y1 B2 Pd1'
_cell_length_a 4.7644
_cell_length_b 4.7644
_cell_length_c 5.1299
_cell_angle_alpha 90.00
_cell_angle_beta 90.00
_cell_angle_gamma 90.00
_symmetry_space_group_name_H-M 'P 4/m m m'
_symmetry_Int_Tables_number 123
_symmetry_space_group_name_Hall '-P 4 2'
loop_
_atom_site_label
_atom_site_type_symbol
_atom_site_fract_x
_atom_site_fract_y
_atom_site_fract_z
Sr1 Sr 0.0000 0.0000 0.0000
Y1 Y 0.5000 0.5000 0.5000
B1 B 0.0000 0.5000 0.0000
Pd1 Pd 0.0000 0.0000 0.5000
```

---

The following is a PBE calculation of crystalline SrZnBPd2 at its relaxed geometry, from Alexandria.

Values from the calculation:
E_form ... 20 kJ/mol of formula units
D(E_F) ... 0.64 states/eV per atom
Calculated total energy ... -19.81 eV/cell

Geometry as CIF:
```
data_SrZnBPd2
_chemical_formula_sum 'Sr1 Zn1 B1 Pd2'
_cell_length_a 4.2188
_cell_length_b 4.2188
_cell_length_c 5.4829
_cell_angle_alpha 90.00
_cell_angle_beta 90.00
_cell_angle_gamma 90.00
_symmetry_space_group_name_H-M 'P 4/m m m'
_symmetry_Int_Tables_number 123
_symmetry_space_group_name_Hall '-P 4 2'
loop_
_atom_site_label
_atom_site_type_symbol
_atom_site_fract_x
_atom_site_fract_y
_atom_site_fract_z
Sr1 Sr 0.0000 0.0000 0.0000
Zn1 Zn 0.5000 0.5000 0.0000
B1 B 0.0000 0.0000 0.5000
Pd1 Pd 0.0000 0.5000 0.5000
```

---

The following is a PBE calculation of crystalline Sr2ZnBPd6 at its relaxed geometry, from Alexandria.

Values from the calculation:
E_form ... -535 kJ/mol of formula units
D(E_F) ... 0.34 states/eV per atom
Calculated total energy ... -96.03 eV/cell

Geometry as CIF:
```
data_Sr2ZnBPd6
_chemical_formula_sum 'Sr4 Zn2 B2 Pd12'
_cell_length_a 10.2394
_cell_length_b 5.9188
_cell_length_c 7.1596
_cell_angle_alpha 90.00
_cell_angle_beta 118.29
_cell_angle_gamma 90.00
_symmetry_space_group_name_H-M 'C 1 2/m 1'
_symmetry_Int_Tables_number 12
_symmetry_space_group_name_Hall '-C 2y'
loop_
_atom_site_label
_atom_site_type_symbol
_atom_site_fract_x
_atom_site_fract_y
_atom_site_fract_z
Sr1 Sr 0.2227 0.0000 0.1662
Zn1 Zn 0.0000 0.5000 0.0000
B1 B 0.0000 0.0000 0.5000
Pd1 Pd 0.0287 0.2611 0.3223
Pd2 Pd 0.2332 0.0000 0.6795
```

---

The following is a PBE calculation of crystalline TaB2Pd at its relaxed geometry, from Alexandria.

Values from the calculation:
E_form ... 236 kJ/mol of formula units
D(E_F) ... 0.62 states/eV per atom
Calculated total energy ... -111.80 eV/cell

Geometry as CIF:
```
data_TaB2Pd
_chemical_formula_sum 'Ta4 B8 Pd4'
_cell_length_a 4.2919
_cell_length_b 4.2919
_cell_length_c 12.1645
_cell_angle_alpha 90.00
_cell_angle_beta 90.00
_cell_angle_gamma 90.00
_symmetry_space_group_name_H-M 'I -4 2 d'
_symmetry_Int_Tables_number 122
_symmetry_space_group_name_Hall 'I -4 2bw'
loop_
_atom_site_label
_atom_site_type_symbol
_atom_site_fract_x
_atom_site_fract_y
_atom_site_fract_z
Ta1 Ta 0.0000 0.0000 0.0000
B1 B 0.2022 0.2500 0.6250
Pd1 Pd 0.0000 0.0000 0.5000
```

---

What did the third record say?
The following is a PBE calculation of crystalline Sr2ZnBPd6 at its relaxed geometry, from Alexandria.

Values from the calculation:
E_form ... -535 kJ/mol of formula units
D(E_F) ... 0.34 states/eV per atom
Calculated total energy ... -96.03 eV/cell

Geometry as CIF:
```
data_Sr2ZnBPd6
_chemical_formula_sum 'Sr4 Zn2 B2 Pd12'
_cell_length_a 10.2394
_cell_length_b 5.9188
_cell_length_c 7.1596
_cell_angle_alpha 90.00
_cell_angle_beta 118.29
_cell_angle_gamma 90.00
_symmetry_space_group_name_H-M 'C 1 2/m 1'
_symmetry_Int_Tables_number 12
_symmetry_space_group_name_Hall '-C 2y'
loop_
_atom_site_label
_atom_site_type_symbol
_atom_site_fract_x
_atom_site_fract_y
_atom_site_fract_z
Sr1 Sr 0.2227 0.0000 0.1662
Zn1 Zn 0.0000 0.5000 0.0000
B1 B 0.0000 0.0000 0.5000
Pd1 Pd 0.0287 0.2611 0.3223
Pd2 Pd 0.2332 0.0000 0.6795
```